First-principles (PBE) data for an optimized crystal structure of Li2AcSeO4, as listed in Alexandria via LeMat-Bulk.

a b c (Å): 5.1973 5.1973 5.1973
angles (deg): 100.83 113.96 113.96
Site moments in Bohr magnetons follow the coordinates.
Element x y z (fractional)
Li: 0.5000 0.7500 0.2500  0.00
Li: 0.0000 0.0000 0.0000  0.01
Ac: 0.5000 0.2500 0.7500  0.01
Se: 0.0000 0.5000 0.5000  0.23
O: 0.5056 0.3485 0.2644  0.10
O: 0.9159 0.1571 0.6515  0.10
O: 0.0841 0.7356 0.2412  0.10
O: 0.4944 0.7588 0.8429  0.10

N(E_F)	2.0	states/eV per cell
calculated total energy	-5.73	eV/atom
total magnetic moment	0.9	Bohr magnetons per cell
formation energy without anion corrections	-1820	meV per atom